First-principles (PBE-GGA) data for an optimized crystal structure of BaHgSe2, as listed in Alexandria via LeMat-Bulk.

The structure belongs to space group C2/m (No. 12); the cell edges are 8.513, 4.308 and 7.756 Å and the angles 90.00°, 116.57° and 90.00°. The inequivalent atoms are Ba at (0.000, 0.000, 0.000), Hg at (0.000, 0.500, 0.500) and Se at (0.208, 0.000, 0.726).

Its formation energy from raw total energies is -966 meV per atom.

***

First-principles (PBE-GGA) data for an optimized crystal structure of Bi3TeOs, as listed in Alexandria via LeMat-Bulk.

The structure belongs to space group Pm-3m (No. 221); the cell edges are 5.358, 5.358 and 5.358 Å and the angles 90.00°, 90.00° and 90.00°. The inequivalent atoms are Bi at (0.000, 0.000, 0.500), Te at (0.500, 0.500, 0.500) and Os at (0.000, 0.000, 0.000).

Its formation energy from raw total energies is 607 meV per atom. The polymorph energy (0 for the lowest one) comes out at 0.0 meV per atom.

***

First-principles (PBE-GGA) data for an optimized crystal structure of CrTc2Ag, as listed in Alexandria via LeMat-Bulk.

The structure belongs to space group Imm2 (No. 44); the cell edges are 3.046, 4.443 and 8.784 Å and the angles 90.00°, 90.00° and 90.00°. The inequivalent atoms are Cr at (0.000, 0.000, 0.000), Tc at (0.000, 0.000, 0.461), Tc at (0.000, 0.500, 0.716) and Ag at (0.000, 0.500, 0.241).

The polymorph energy (0 for the lowest one) comes out at 210.4 meV per atom. For the formation energy, the calculation gives 515 meV/atom.

***

First-principles (PBE-GGA) data for an optimized crystal structure of BaTe3Pb2, as listed in Alexandria via LeMat-Bulk.

The structure belongs to space group Pmc2_1 (No. 26); the cell edges are 4.515, 12.323 and 8.209 Å and the angles 90.00°, 90.00° and 90.00°. The inequivalent atoms are Ba at (0.000, 0.135, 0.000), Te at (0.000, 0.383, 0.720), Te at (0.500, 0.056, 0.690), Te at (0.500, 0.295, 0.230), Pb at (0.000, 0.192, 0.483) and Pb at (0.500, 0.494, 0.507).

Its formation energy from raw total energies is -803 meV per atom. The polymorph energy (0 for the lowest one) comes out at 40.8 meV per atom.

***

First-principles (PBE-GGA) data for an optimized crystal structure of BaTmCdGa, as listed in Alexandria via LeMat-Bulk.

The structure belongs to space group F-43m (No. 216); the cell edges are 7.803, 7.803 and 7.803 Å and the angles 90.00°, 90.00° and 90.00°. The inequivalent atoms are Ba at (0.000, 0.000, 0.000), Tm at (0.000, 0.000, 0.500), Cd at (0.250, 0.250, 0.750) and Ga at (0.250, 0.250, 0.250).

For the formation energy, the calculation gives -215 meV/atom.

***

First-principles (PBE-GGA) data for an optimized crystal structure of Zr2CrCu, as listed in Alexandria via LeMat-Bulk.

The structure belongs to space group Cm (No. 8); the cell edges are 10.760, 3.201 and 4.580 Å and the angles 90.00°, 115.01° and 90.00°. The inequivalent atoms are Zr at (0.000, 0.000, 0.000), Zr at (0.222, 0.000, 0.719), Cr at (0.468, 0.000, 0.468) and Cu at (0.262, 0.500, 0.258).

For the formation energy, the calculation gives 146 meV/atom.

***

Computed values of total magnetic moment (unit: μB per formula unit) for the preceding records, in sequence: 0.00; 0.00; 1.16; 0.00; 0.00; 1.87.